Record 1
Compound: Ni2Ge2W
Source: Alexandria via LeMat-Bulk
Functional: PBE
Structure: optimized geometry

Computed properties:
ΔH_f (0 K) = -0.026 eV per atom
Electronic total energy = -6.7765 eV/atom
Calculated density = 11.07 Mg/m³

Cell lengths 6.9781, 6.9781, 2.7519 Å; angles 90.00, 90.00, 90.00 degrees
Element x y z (fractional)
Ni1 0.1441 0.6441 0.5000
Ni2 0.6441 0.8559 0.5000
Ni3 0.8559 0.3559 0.5000
Ni4 0.3559 0.1441 0.5000
Ge1 0.3492 0.8492 0.0000
Ge2 0.8492 0.6508 0.0000
Ge3 0.6508 0.1508 0.0000
Ge4 0.1508 0.3492 0.0000
W1 0.0000 0.0000 0.0000
W2 0.5000 0.5000 0.0000

=====

Record 2
Compound: Ni9Ge2W
Source: Alexandria via LeMat-Bulk
Functional: PBE
Structure: optimized geometry

Computed properties:
ΔH_f (0 K) = -0.196 eV per atom
Electronic total energy = -6.3813 eV/atom
Calculated density = 10.17 Mg/m³

Cell lengths 3.5994, 3.5994, 10.8051 Å; angles 90.00, 90.00, 90.00 degrees
Element x y z (fractional)
Ni1 0.5000 0.5000 0.0000
Ni2 0.5000 0.5000 0.3328
Ni3 0.5000 0.5000 0.6672
Ni4 0.5000 0.0000 0.1662
Ni5 0.5000 0.0000 0.5000
Ni6 0.5000 0.0000 0.8338
Ni7 0.0000 0.5000 0.1662
Ni8 0.0000 0.5000 0.5000
Ni9 0.0000 0.5000 0.8338
Ge1 0.0000 0.0000 0.3397
Ge2 0.0000 0.0000 0.6603
W1 0.0000 0.0000 0.0000

=====

Record 3
Compound: NiGeW2
Source: Alexandria via LeMat-Bulk
Functional: PBE
Structure: optimized geometry

Computed properties:
ΔH_f (0 K) = 0.618 eV per atom
Electronic total energy = -8.4583 eV/atom
Calculated density = 13.31 Mg/m³

Cell lengths 6.8281, 6.8281, 5.5179 Å; angles 51.78, 51.78, 90.00 degrees
Element x y z (fractional)
Ni1 0.5000 0.5000 0.0000
Ni2 0.2500 0.7500 0.5000
Ge1 0.0000 0.0000 0.0000
Ge2 0.7500 0.2500 0.5000
W1 0.6157 0.1250 0.2500
W2 0.1343 0.6250 0.2500
W3 0.3750 0.3843 0.7500
W4 0.8750 0.8657 0.7500

=====

Record 4
Compound: NiGe2W
Source: Alexandria via LeMat-Bulk
Functional: PBE
Structure: optimized geometry

Computed properties:
ΔH_f (0 K) = 0.477 eV per atom
Electronic total energy = -6.5158 eV/atom
Calculated density = 10.40 Mg/m³

Cell lengths 6.6287, 6.6287, 5.4692 Å; angles 52.70, 52.70, 90.00 degrees
Element x y z (fractional)
Ni1 0.5000 0.5000 0.0000
Ni2 0.2500 0.7500 0.5000
Ge1 0.5888 0.1250 0.2500
Ge2 0.1612 0.6250 0.2500
Ge3 0.3750 0.4112 0.7500
Ge4 0.8750 0.8388 0.7500
W1 0.0000 0.0000 0.0000
W2 0.7500 0.2500 0.5000

=====

Record 5
Compound: NiGe2W
Source: Alexandria via LeMat-Bulk
Functional: PBE
Structure: optimized geometry

Computed properties:
ΔH_f (0 K) = 0.312 eV per atom
Electronic total energy = -6.6804 eV/atom
Calculated density = 9.95 Mg/m³

Cell lengths 2.9159, 2.9159, 8.9461 Å; angles 80.62, 80.62, 60.00 degrees
Element x y z (fractional)
Ni1 0.0000 0.0000 0.0000
Ge1 0.0868 0.0868 0.7396
Ge2 0.9132 0.9132 0.2604
W1 0.5000 0.5000 0.5000

=====

Record 6
Compound: Ni12Ge3W
Source: Alexandria via LeMat-Bulk
Functional: PBE
Structure: optimized geometry

Computed properties:
ΔH_f (0 K) = -0.221 eV per atom
Electronic total energy = -6.2322 eV/atom
Calculated density = 9.89 Mg/m³

Cell lengths 3.5934, 3.5934, 14.3833 Å; angles 90.00, 90.00, 90.00 degrees
Element x y z (fractional)
Ni1 0.5000 0.5000 0.0000
Ni2 0.5000 0.5000 0.2502
Ni3 0.5000 0.5000 0.5000
Ni4 0.5000 0.5000 0.7498
Ni5 0.5000 0.0000 0.1252
Ni6 0.5000 0.0000 0.3759
Ni7 0.5000 0.0000 0.6241
Ni8 0.5000 0.0000 0.8748
Ni9 0.0000 0.5000 0.1252
Ni10 0.0000 0.5000 0.3759
Ni11 0.0000 0.5000 0.6241
Ni12 0.0000 0.5000 0.8748
Ge1 0.0000 0.0000 0.2563
Ge2 0.0000 0.0000 0.5000
Ge3 0.0000 0.0000 0.7437
W1 0.0000 0.0000 0.0000

=====

Record 7
Compound: YNiGe
Source: Alexandria via LeMat-Bulk
Functional: PBE
Structure: optimized geometry

Computed properties:
ΔH_f (0 K) = -0.804 eV per atom
Electronic total energy = -6.4246 eV/atom
Calculated density = 6.79 Mg/m³

Cell lengths 4.2432, 6.9547, 7.2991 Å; angles 90.00, 90.00, 90.00 degrees
Element x y z (fractional)
Y1 0.7500 0.5080 0.7063
Y2 0.2500 0.4920 0.2937
Y3 0.7500 0.0080 0.7937
Y4 0.2500 0.9920 0.2063
Ni1 0.7500 0.8072 0.4187
Ni2 0.2500 0.1928 0.5813
Ni3 0.7500 0.3072 0.0813
Ni4 0.2500 0.6928 0.9187
Ge1 0.7500 0.1967 0.4113
Ge2 0.2500 0.8033 0.5887
Ge3 0.7500 0.6967 0.0887
Ge4 0.2500 0.3033 0.9113

=====

Record 8
Compound: Y2Ni5Ge4
Source: Alexandria via LeMat-Bulk
Functional: PBE
Structure: optimized geometry

Computed properties:
ΔH_f (0 K) = -0.547 eV per atom
Electronic total energy = -6.0295 eV/atom
Calculated density = 7.15 Mg/m³

Cell lengths 5.3854, 5.4158, 7.4929 Å; angles 79.71, 68.94, 60.19 degrees
Element x y z (fractional)
Y1 0.8618 0.0000 0.2763
Y2 0.1382 0.0000 0.7237
Ni1 0.5000 0.0000 0.0000
Ni2 0.0000 0.5000 0.0000
Ni3 0.5000 0.5000 0.0000
Ni4 0.2500 0.5000 0.5000
Ni5 0.7500 0.5000 0.5000
Ge1 0.4777 0.3060 0.7385
Ge2 0.5223 0.6940 0.2615
Ge3 0.2162 0.3060 0.2615
Ge4 0.7838 0.6940 0.7385